DFT (GGA-PBE) results for a geometry-optimized K3Na2Hg4 structure.

Unit cell a=12.4261 b=5.2265 c=10.4052 alpha=90.00 beta=98.13 gamma=90.00
Last column: nearest neighbours and their distance in Å.
Space group C2/m (No. 12)
Symmetry-distinct sites (fractional):
K 0.0000 0.0000 0.0000 x2  6 Hg 3.59-3.85
K 0.1262 0.5000 0.3807 x4  6 Hg 3.54-3.77, 1 Na 3.92
Na 0.1802 0.5000 0.7749 x4  5 Hg 3.14-3.19
Hg 0.0808 0.0000 0.6282 x4  1 Hg 3.10, 2 Na 3.19
Hg 0.2277 0.5000 0.0794 x4  3 Na 3.14-3.15, 2 Hg 3.18

Properties
For the density of states at the Fermi level, the calculation gives 8.78 states/eV/cell. The value obtained for the formation energy is -0.213 eV/atom.



DFT (GGA-PBE) results for a geometry-optimized K14NaHg structure.

Unit cell a=13.1785 b=11.2239 c=14.1200 alpha=90.00 beta=90.00 gamma=90.00
Last column: nearest neighbours and their distance in Å.
Space group Amm2 (No. 38)
Symmetry-distinct sites (fractional):
K 0.0000 0.0000 0.0000 x2  8 K 4.43-4.62
K 0.0000 0.0000 0.4667 x2  10 K 4.47-4.63
K 0.0000 0.2137 0.7339 x4  11 K 4.45-4.98
K 0.2329 0.0000 0.2258 x4  10 K 4.33-4.83, 1 Na 4.56
K 0.2810 0.0000 0.8043 x4  1 Hg 3.74
K 0.3022 0.1976 0.5229 x8  1 Hg 3.77
K 0.5000 0.2166 0.2726 x4  1 Hg 3.72
Na 0.5000 0.0000 0.0203 x2  10 K 4.20-4.56
Hg 0.5000 0.0000 0.6354 x2  8 K 3.72-3.77

Properties
For the density of states at the Fermi level, the calculation gives 23.18 states/eV/cell. The value obtained for the formation energy is -0.014 eV/atom.



DFT (GGA-PBE) results for a geometry-optimized KNa5Hg structure.

Unit cell a=4.8628 b=4.8628 c=11.6586 alpha=90.00 beta=90.00 gamma=90.00
Last column: nearest neighbours and their distance in Å.
Space group P4/mmm (No. 123)
Symmetry-distinct sites (fractional):
K 0.0000 0.0000 0.0000 x1  8 Na 4.19
Na 0.0000 0.0000 0.5000 x1  8 Na 3.43, 4 Hg 3.44
Na 0.0000 0.5000 0.2926 x4  2 Hg 3.43, 6 Na 3.43-3.44
Hg 0.5000 0.5000 0.5000 x1  12 Na 3.43-3.44

Properties
For the density of states at the Fermi level, the calculation gives 4.92 states/eV/cell. The energy above the most stable polymorph in this dataset comes out at 0.000 eV per atom. The value obtained for the formation energy is -0.039 eV/atom.



DFT (GGA-PBE) results for a geometry-optimized K4Na2Hg structure.

Unit cell a=6.6316 b=6.6316 c=19.3120 alpha=90.00 beta=90.00 gamma=90.00
Last column: nearest neighbours and their distance in Å.
Space group I4/mmm (No. 139)
Symmetry-distinct sites (fractional):
K 0.0000 0.0000 0.1843 x4  1 Hg 3.56, 1 Na 3.89
K 0.0000 0.5000 0.0000 x4  2 Hg 3.32
Na 0.0000 0.0000 0.3858 x4  5 K 3.89-3.98
Hg 0.0000 0.0000 0.0000 x2  6 K 3.32-3.56

Properties
For the density of states at the Fermi level, the calculation gives 12.42 states/eV/cell. The energy above the most stable polymorph in this dataset comes out at 0.082 eV per atom. The value obtained for the formation energy is 0.026 eV/atom.



DFT (GGA-PBE) results for a geometry-optimized K2Na3Hg4 structure.

Unit cell a=6.6764 b=18.4786 c=9.6058 alpha=90.00 beta=90.00 gamma=90.00
Last column: nearest neighbours and their distance in Å.
Space group Cmce (No. 64)
Symmetry-distinct sites (fractional):
K 0.0000 0.1096 0.0894 x8  8 Hg 3.65-3.99, 4 Na 3.92-4.00
Na 0.0000 0.0000 0.5000 x4  6 Hg 3.07-3.42
Na 0.2500 0.2178 0.7500 x8  5 Hg 3.10-3.24, 2 Na 3.34
Hg 0.0000 0.1841 0.4679 x8  5 Na 3.23-3.42
Hg 0.2500 0.0501 0.7500 x8  3 Na 3.07-3.10, 2 Hg 3.34

Properties
For the density of states at the Fermi level, the calculation gives 18.24 states/eV/cell. The energy above the most stable polymorph in this dataset comes out at 0.034 eV per atom. The value obtained for the formation energy is -0.192 eV/atom.



DFT (GGA-PBE) results for a geometry-optimized KNaHg14 structure.

Unit cell a=11.3601 b=11.8422 c=14.5977 alpha=90.00 beta=90.00 gamma=90.00
Last column: nearest neighbours and their distance in Å.
Space group Imma (No. 74)
Symmetry-distinct sites (fractional):
K 0.0000 0.2500 0.1081 x4  8 Hg 3.75-3.99
Na 0.0000 0.0000 0.5000 x4  8 Hg 3.21-3.44
Hg 0.1246 0.2500 0.7592 x8  6 Hg 2.83-3.11
Hg 0.1340 0.0005 0.6939 x16  5 Hg 3.01-3.17, 1 Na 3.21
Hg 0.1407 0.0771 0.9186 x16  5 Hg 3.00-3.23
Hg 0.1451 0.2500 0.5423 x8  5 Hg 3.05-3.30
Hg 0.1571 0.2500 0.3337 x8  4 Hg 3.01-3.23

Properties
For the density of states at the Fermi level, the calculation gives 11.23 states/eV/cell. The value obtained for the formation energy is -0.082 eV/atom.



DFT (GGA-PBE) results for a geometry-optimized K2NaHg2 structure.

Unit cell a=11.7085 b=7.1320 c=5.0550 alpha=90.00 beta=115.36 gamma=90.00
Last column: nearest neighbours and their distance in Å.
Space group C2/m (No. 12)
Symmetry-distinct sites (fractional):
K 0.2055 0.0000 0.2055 x4  6 Hg 3.67-3.72, 2 Na 4.00-4.02
Na 0.0000 0.5000 0.0000 x2  4 Hg 3.24
Hg 0.0000 0.2160 0.5000 x4  1 Hg 3.08, 2 Na 3.24

Properties
For the density of states at the Fermi level, the calculation gives 3.90 states/eV/cell. The energy above the most stable polymorph in this dataset comes out at 0.000 eV per atom. The value obtained for the formation energy is -0.210 eV/atom.



DFT (GGA-PBE) results for a geometry-optimized KNa6Hg2 structure.

Unit cell a=12.3493 b=5.8602 c=10.0261 alpha=90.00 beta=123.62 gamma=90.00
Last column: nearest neighbours and their distance in Å.
Space group C2/m (No. 12)
Symmetry-distinct sites (fractional):
K 0.0000 0.0000 0.0000 x2  4 Hg 3.74, 10 Na 3.75-3.97
Na 0.1175 0.0000 0.4440 x4  3 Hg 3.28-3.30, 4 Na 3.53-3.65
Na 0.1494 0.5000 0.6598 x4  2 Hg 3.19-3.48, 4 Na 3.29-3.56
Na 0.2252 0.5000 0.0908 x4  2 Hg 3.24-3.44, 2 Na 3.60
Hg 0.0719 0.5000 0.2686 x4  7 Na 3.19-3.48

Properties
For the density of states at the Fermi level, the calculation gives 7.14 states/eV/cell. The energy above the most stable polymorph in this dataset comes out at 0.000 eV per atom. The value obtained for the formation energy is -0.112 eV/atom.



DFT (GGA-PBE) results for a geometry-optimized KNaNbHg2 structure.

Unit cell a=6.0905 b=6.0905 c=6.2503 alpha=90.00 beta=90.00 gamma=90.00
Last column: nearest neighbours and their distance in Å.
Space group P4/mmm (No. 123)
Symmetry-distinct sites (fractional):
K 0.0000 0.0000 0.0000 x1  4 Hg 3.05, 2 Nb 3.13
Na 0.5000 0.5000 0.5000 x1  4 Nb 4.31, 8 Hg 4.36
Nb 0.0000 0.0000 0.5000 x1  2 K 3.13
Hg 0.0000 0.5000 0.0000 x2  2 K 3.05

Properties
For the density of states at the Fermi level, the calculation gives 8.15 states/eV/cell. The value obtained for the formation energy is 1.211 eV/atom.



DFT (GGA-PBE) results for a geometry-optimized KNaNiHg2 structure.

Unit cell a=6.2601 b=6.2601 c=5.7227 alpha=90.00 beta=90.00 gamma=90.00
Last column: nearest neighbours and their distance in Å.
Space group P4/mmm (No. 123)
Symmetry-distinct sites (fractional):
K 0.0000 0.0000 0.0000 x1  2 Ni 2.86, 4 Hg 3.13
Na 0.5000 0.5000 0.5000 x1  8 Hg 4.24, 4 Ni 4.43
Ni 0.0000 0.0000 0.5000 x1  2 K 2.86
Hg 0.0000 0.5000 0.0000 x2  2 K 3.13

Properties
For the density of states at the Fermi level, the calculation gives 17.37 states/eV/cell. The energy above the most stable polymorph in this dataset comes out at 0.742 eV per atom. The value obtained for the formation energy is 0.712 eV/atom.



DFT (GGA-PBE) results for a geometry-optimized KNaNiHg2 structure.

Unit cell a=5.1553 b=5.1553 c=5.3156 alpha=90.00 beta=90.00 gamma=90.00
Last column: nearest neighbours and their distance in Å.
Space group P4/mmm (No. 123)
Symmetry-distinct sites (fractional):
K 0.0000 0.0000 0.0000 x1  4 Na 3.65, 8 Hg 3.70
Na 0.5000 0.5000 0.0000 x1  2 Ni 2.66
Ni 0.5000 0.5000 0.5000 x1  4 Hg 2.58, 2 Na 2.66
Hg 0.0000 0.5000 0.5000 x2  2 Ni 2.58

Properties
For the density of states at the Fermi level, the calculation gives 2.59 states/eV/cell. The energy above the most stable polymorph in this dataset comes out at 0.000 eV per atom. The value obtained for the formation energy is -0.030 eV/atom.



DFT (GGA-PBE) results for a geometry-optimized K6Na2HgO structure.

Unit cell a=12.3343 b=12.3717 c=8.6939 alpha=90.00 beta=134.41 gamma=90.00
Last column: nearest neighbours and their distance in Å.
Space group Cm (No. 8)
Symmetry-distinct sites (fractional):
K 0.0000 0.0000 0.0000 x2  1 O 2.65
K 0.0000 0.0000 0.4320 x2  1 O 2.66
K 0.0735 0.5000 0.5739 x2  1 O 2.66
K 0.0737 0.5000 0.0059 x2  1 O 2.65
K 0.2868 0.2855 0.0030 x4  1 O 2.65
Na 0.2866 0.2471 0.5030 x4  12 K 4.37-4.43
Hg 0.2870 0.0000 0.0029 x2  6 K 3.52-3.55
O 0.2868 0.5000 0.0030 x2  6 K 2.65-2.66

Properties
For the density of states at the Fermi level, the calculation gives 15.63 states/eV/cell. The uncorrected formation energy comes out at -0.33 eV/atom.



Which size of the total moment belongs to each record? In order, 0.00 0.00 0.00 0.00 0.00 0.00 0.00 0.00 4.92 0.64 0.00 0.00 μB/f.u..